(1)
First-principles (GGA-PBE) data for a relaxed structure of Ce2DyGe3Pt4, as listed in Alexandria via LeMat-Bulk.

DOS at the Fermi energy ... 1.561 states/eV per atom
Crystal system ... tetragonal
E_form ... -9.29 eV per formula unit

abc: 4.2687 4.2687 11.3043
angles: 90.00 90.00 90.00
Positions (direct):
Dy: 0.5000 0.5000 0.5000
Pt: 0.0000 0.0000 0.0000
Pt: 0.0000 0.5000 0.3418
Pt: 0.5000 0.5000 0.0000
Pt: 0.5000 0.0000 0.6582
Ge: 0.0000 0.5000 0.1237
Ge: 0.5000 0.0000 0.8763
Ge: 0.0000 0.0000 0.5000
Ce: 0.0000 0.5000 0.7748
Ce: 0.5000 0.0000 0.2252

---

(2)
First-principles (GGA-PBE) data for a relaxed structure of CeDy2Ge3Pt4, as listed in Alexandria via LeMat-Bulk.

DOS at the Fermi energy ... 1.098 states/eV per atom
Crystal system ... tetragonal
E_form ... -8.81 eV per formula unit

abc: 4.2859 4.2859 11.2118
angles: 90.00 90.00 90.00
Positions (direct):
Pt: 0.0000 0.0000 0.0000
Pt: 0.0000 0.5000 0.3407
Pt: 0.5000 0.0000 0.6593
Pt: 0.5000 0.5000 0.0000
Dy: 0.5000 0.0000 0.2136
Dy: 0.0000 0.5000 0.7864
Ge: 0.0000 0.0000 0.5000
Ge: 0.0000 0.5000 0.1240
Ge: 0.5000 0.0000 0.8760
Ce: 0.5000 0.5000 0.5000

---

(3)
First-principles (GGA-PBE) data for a relaxed structure of Ce2DyGe4Pt3, as listed in Alexandria via LeMat-Bulk.

DOS at the Fermi energy ... 1.282 states/eV per atom
Crystal system ... tetragonal
E_form ... -8.81 eV per formula unit

abc: 4.3204 4.3204 11.1659
angles: 90.00 90.00 90.00
Positions (direct):
Ge: 0.0000 0.0000 0.0000
Ge: 0.5000 0.0000 0.6620
Ge: 0.5000 0.5000 0.0000
Ge: 0.0000 0.5000 0.3380
Dy: 0.5000 0.5000 0.5000
Ce: 0.0000 0.5000 0.7697
Ce: 0.5000 0.0000 0.2303
Pt: 0.0000 0.5000 0.1167
Pt: 0.0000 0.0000 0.5000
Pt: 0.5000 0.0000 0.8833

---

(4)
First-principles (GGA-PBE) data for a relaxed structure of CeDyGeRh, as listed in Alexandria via LeMat-Bulk.

DOS at the Fermi energy ... 1.244 states/eV per atom
Crystal system ... cubic
E_form ... -2.58 eV per formula unit

abc: 5.0053 5.0053 5.0053
angles: 60.00 60.00 60.00
Positions (direct):
Dy: 0.0000 0.0000 0.0000
Rh: 0.7500 0.7500 0.7500
Ce: 0.5000 0.5000 0.5000
Ge: 0.2500 0.2500 0.2500

---

(5)
First-principles (GGA-PBE) data for a relaxed structure of Ce2DyGe3Rh4, as listed in Alexandria via LeMat-Bulk.

DOS at the Fermi energy ... 0.984 states/eV per atom
Crystal system ... tetragonal
E_form ... -8.57 eV per formula unit

abc: 4.1572 4.1572 11.2812
angles: 90.00 90.00 90.00
Positions (direct):
Ce: 0.0000 0.5000 0.7685
Ce: 0.5000 0.0000 0.2315
Rh: 0.5000 0.5000 0.0000
Rh: 0.5000 0.0000 0.6616
Rh: 0.0000 0.5000 0.3384
Rh: 0.0000 0.0000 0.0000
Ge: 0.0000 0.5000 0.1210
Ge: 0.5000 0.0000 0.8790
Ge: 0.0000 0.0000 0.5000
Dy: 0.5000 0.5000 0.5000

---

(6)
First-principles (GGA-PBE) data for a relaxed structure of CeDySiGe, as listed in Alexandria via LeMat-Bulk.

DOS at the Fermi energy ... 1.630 states/eV per atom
Crystal system ... orthorhombic
Energy relative to the elements, uncorrected ... -0.7428 eV per atom

abc: 4.3721 3.9388 5.8027
angles: 90.00 112.13 90.00
Positions (direct):
Ce: 0.1384 0.0000 0.2769
Dy: 0.8610 0.5000 0.7220
Ge: 0.4210 0.0000 0.8419
Si: 0.5796 0.5000 0.1592

---

(7)
First-principles (GGA-PBE) data for a relaxed structure of CeDyTlGe, as listed in Alexandria via LeMat-Bulk.

DOS at the Fermi energy ... 1.978 states/eV per atom
Crystal system ... cubic
E_form ... -1.58 eV per formula unit

abc: 5.2749 5.2749 5.2749
angles: 60.00 60.00 60.00
Positions (direct):
Ce: 0.5000 0.5000 0.5000
Dy: 0.0000 0.0000 0.0000
Tl: 0.2500 0.2500 0.2500
Ge: 0.7500 0.7500 0.7500

---

(8)
First-principles (GGA-PBE) data for a relaxed structure of CeDyZnGe, as listed in Alexandria via LeMat-Bulk.

DOS at the Fermi energy ... 1.688 states/eV per atom
Crystal system ... cubic
E_form ... -1.93 eV per formula unit

abc: 5.0741 5.0741 5.0741
angles: 60.00 60.00 60.00
Positions (direct):
Dy: 0.0000 0.0000 0.0000
Ce: 0.5000 0.5000 0.5000
Zn: 0.7500 0.7500 0.7500
Ge: 0.2500 0.2500 0.2500